# 1
DFT (PBE) results for a relaxed Er2Tm2Sc5 crystal.

Calculated values
**Size of the total moment**: 0.000 μB/f.u.
**Raw total energy**: -49.32 eV for the cell shown
**Formation energy from the elements**: 45 meV/atom
**DOS at the Fermi energy**: 1.377 states/eV per atom
**Relative energy among the computed polymorphs**: 0 meV per atom

Lattice parameters (Å, degrees): 8.3987 8.3987 8.8745 103.36 103.36 23.73
Fractional coordinates of all 9 atoms:
Er  0.1883  0.1883  0.2630
Er  0.8117  0.8117  0.7370
Tm  0.4811  0.4811  0.6774
Tm  0.5189  0.5189  0.3226
Sc  0.0000  0.0000  0.0000
Sc  0.1403  0.1403  0.6088
Sc  0.3366  0.3366  0.0694
Sc  0.6634  0.6634  0.9306
Sc  0.8597  0.8597  0.3912

# 2
DFT (PBE) results for a relaxed Sm3Ho4Er4 crystal.

Calculated values
**Size of the total moment**: 0.000 μB/f.u.
**Raw total energy**: -48.98 eV for the cell shown
**Formation energy from the elements**: 158 meV/atom
**DOS at the Fermi energy**: 1.515 states/eV per atom
**Relative energy among the computed polymorphs**: 0 meV per atom

Lattice parameters (Å, degrees): 10.5163 6.6208 6.6208 50.52 90.00 90.00
Fractional coordinates of all 11 atoms:
Sm  0.0000  0.0000  0.0000
Sm  0.2927  0.1528  0.1528
Sm  0.7073  0.1528  0.1528
Ho  0.0000  0.7027  0.7027
Ho  0.2128  0.4980  0.4980
Ho  0.5000  0.6352  0.6352
Ho  0.7872  0.4980  0.4980
Er  0.0000  0.3001  0.3001
Er  0.2940  0.8478  0.8478
Er  0.5000  0.3626  0.3626
Er  0.7060  0.8478  0.8478

# 3
DFT (PBE) results for a relaxed CaNi2Ag2 crystal.

Calculated values
**Size of the total moment**: 0.000 μB/f.u.
**Raw total energy**: -37.06 eV for the cell shown
**Formation energy from the elements**: 147 meV/atom
**DOS at the Fermi energy**: 0.508 states/eV per atom
**Relative energy among the computed polymorphs**: 96 meV per atom

Lattice parameters (Å, degrees): 7.6064 7.6064 2.9713 90.00 90.00 90.00
Fractional coordinates of all 10 atoms:
Ca  0.0000  0.0000  0.0000
Ca  0.5000  0.5000  0.0000
Ni  0.1642  0.3358  0.5000
Ni  0.3358  0.8358  0.5000
Ni  0.6642  0.1642  0.5000
Ni  0.8358  0.6642  0.5000
Ag  0.1316  0.6315  0.0000
Ag  0.3684  0.1316  0.0000
Ag  0.6315  0.8684  0.0000
Ag  0.8684  0.3684  0.0000

# 4
DFT (PBE) results for a relaxed BaNi2 crystal.

Calculated values
**Size of the total moment**: 0.049 μB/f.u.
**Raw total energy**: -26.80 eV for the cell shown
**Formation energy from the elements**: 29 meV/atom
**DOS at the Fermi energy**: 1.247 states/eV per atom

Lattice parameters (Å, degrees): 4.6326 4.1411 9.0379 90.00 91.05 90.00
Fractional coordinates of all 6 atoms:
Ba  0.2382  0.2500  0.2718
Ba  0.7618  0.7500  0.7282
Ni  0.1235  0.2500  0.9537
Ni  0.3712  0.7500  0.9983
Ni  0.6288  0.2500  0.0017
Ni  0.8765  0.7500  0.0463

# 5
DFT (PBE) results for a relaxed PmTh2Au crystal.

Calculated values
**Size of the total moment**: 0.000 μB/f.u.
**Raw total energy**: -21.82 eV for the cell shown
**Formation energy from the elements**: 262 meV/atom
**DOS at the Fermi energy**: 1.291 states/eV per atom
**Relative energy among the computed polymorphs**: 491 meV per atom

Lattice parameters (Å, degrees): 12.0294 12.0294 12.0294 16.74 16.74 16.74
Fractional coordinates of all 4 atoms:
Pm  0.0000  0.0000  0.0000
Th  0.4179  0.4179  0.4179
Th  0.5821  0.5821  0.5821
Au  0.5000  0.5000  0.5000

# 6
DFT (PBE) results for a relaxed YPt3 crystal.

Calculated values
**Size of the total moment**: 0.000 μB/f.u.
**Raw total energy**: -19.39 eV for the cell shown
**Formation energy from the elements**: 1300 meV/atom
**DOS at the Fermi energy**: 0.508 states/eV per atom

Lattice parameters (Å, degrees): 5.2277 5.2277 5.2277 90.00 90.00 90.00
Fractional coordinates of all 4 atoms:
Y  0.0000  0.0000  0.0000
Pt  0.0000  0.0000  0.5000
Pt  0.0000  0.5000  0.0000
Pt  0.5000  0.0000  0.0000

# 7
DFT (PBE) results for a relaxed CaTiCd2N crystal.

Calculated values
**Size of the total moment**: 0.663 μB/f.u.
**Raw total energy**: -20.09 eV for the cell shown
**DOS at the Fermi energy**: 0.761 states/eV per atom
**ΔE_f (raw)**: -0.01 eV/atom

Lattice parameters (Å, degrees): 5.2744 5.2744 3.9004 90.00 90.00 90.00
Fractional coordinates of all 5 atoms:
Ca  0.0000  0.0000  0.0000
Ti  0.5000  0.5000  0.0000
Cd  0.0000  0.5000  0.5000
Cd  0.5000  0.0000  0.5000
N  0.5000  0.5000  0.5000

# 8
DFT (PBE) results for a relaxed RbLaCr2C crystal.

Calculated values
**Size of the total moment**: 9.514 μB/f.u.
**Raw total energy**: -22.13 eV for the cell shown
**Formation energy from the elements**: 2447 meV/atom
**DOS at the Fermi energy**: 1.079 states/eV per atom

Lattice parameters (Å, degrees): 5.4280 5.4280 4.8386 90.00 90.00 90.00
Fractional coordinates of all 5 atoms:
Rb  0.0000  0.0000  0.0000
La  0.5000  0.5000  0.5000
Cr  0.0000  0.5000  0.0000
Cr  0.5000  0.0000  0.0000
C  0.0000  0.0000  0.5000

> Which value of raw total energy does entry 2 give?

-48.98 eV for the cell shown

> Look up the DOS at the Fermi energy of the eighth one.

1.079 states/eV per atom

Please write out number 7 again, unchanged.
DFT (PBE) results for a relaxed CaTiCd2N crystal.

Calculated values
**Size of the total moment**: 0.663 μB/f.u.
**Raw total energy**: -20.09 eV for the cell shown
**DOS at the Fermi energy**: 0.761 states/eV per atom
**ΔE_f (raw)**: -0.01 eV/atom

Lattice parameters (Å, degrees): 5.2744 5.2744 3.9004 90.00 90.00 90.00
Fractional coordinates of all 5 atoms:
Ca  0.0000  0.0000  0.0000
Ti  0.5000  0.5000  0.0000
Cd  0.0000  0.5000  0.5000
Cd  0.5000  0.0000  0.5000
N  0.5000  0.5000  0.5000

> Which value of size of the total moment does entry 1 give?

0.000 μB/f.u.